No. 1
Entry from Alexandria via LeMat-Bulk: crystalline MgCu2Re at its relaxed geometry (PBE).

Computed properties:
Its space group is F-43m. Its energy is -19.968 eV per cell. The value obtained for the magnetization is 2.2 μB per cell. The energy relative to the elements comes out at 567 meV per atom.

Cell: 4.323 4.323 4.323 Å, 60.00 60.00 60.00°
Fractional positions:
Cu 0.000 0.000 0.000
Cu 0.250 0.250 0.250
Mg 0.500 0.500 0.500
Re 0.750 0.750 0.750

---

No. 2
Entry from Alexandria via LeMat-Bulk: crystalline Mg2CuRe at its relaxed geometry (PBE).

Computed properties:
Its space group is C2/m. Its energy is -18.781 eV per cell. The value obtained for the magnetization is 0.0 μB per cell. The energy relative to the elements comes out at 238 meV per atom.

Cell: 6.288 5.007 2.711 Å, 90.16 64.18 120.66°
Fractional positions:
Cu 0.500 0.500 0.000
Mg 0.000 0.000 0.000
Mg 0.500 0.000 0.500
Re 0.000 0.500 0.500

---

> What is the formula in the first record?

MgCu2Re

---

> energy of number 1 (MgCu2Re)?

-19.968 eV per cell

---

> What is the formula in the first record?

MgCu2Re